Computed, not measured: a relaxed structure of LiSm2Sb at the PBE level of DFT.

Unit cell a=6.945 b=8.498 c=7.195 alpha=90.00 beta=90.00 gamma=90.00
Space group Imma (No. 74)
Inequivalent atoms, fractional coordinates:
Li: 0.000 0.250 0.045
Sm: 0.250 0.023 0.750
Sb: 0.000 0.250 0.461

## Properties
volume = 424.7 Å³/cell
uncorrected energy = -4.4244 eV per atom
formation energy without anion corrections = -2.22 eV per formula unit
size of the total moment = 0.000 μB/atom
energy above the lowest structure with this stoichiometry = 0.0 kJ/mol of atoms